(1)
First-principles (PBE) data for CsSr2Ca2 after structural relaxation, as listed in Alexandria via LeMat-Bulk.

The space group is P4/mbm (No. 127) and the conventional cell measures 11.849, 11.849 and 4.188 Å, with angles of 90.00, 90.00 and 90.00 degrees. The asymmetric unit holds Cs at (0.000, 0.000, 0.000), Sr at (0.121, 0.379, 0.000) and Ca at (0.169, 0.669, 0.500).

For the energy of formation, the calculation gives 0.1548 eV/atom. The total magnetization comes out at 0.0 μB per formula unit. The relative energy among the computed polymorphs is 0 meV/atom.


(2)
First-principles (PBE) data for CsSrCa after structural relaxation, as listed in Alexandria via LeMat-Bulk.

The space group is P3m1 (No. 156) and the conventional cell measures 4.3104, 4.3104 and 11.2160 Å, with angles of 90.00, 90.00 and 120.00 degrees. The asymmetric unit holds Cs at (0.0000, 0.0000, 0.0000), Sr at (0.3333, 0.6667, 0.6336) and Ca at (0.6667, 0.3333, 0.3454).

For the energy of formation, the calculation gives 0.1670 eV/atom. The total magnetization comes out at 0.0 μB per formula unit.


(3)
First-principles (PBE) data for CsSr2Ca2 after structural relaxation, as listed in Alexandria via LeMat-Bulk.

The space group is I4/mmm (No. 139) and the conventional cell measures 5.715, 5.715 and 19.398 Å, with angles of 90.00, 90.00 and 90.00 degrees. The asymmetric unit holds Cs at (0.000, 0.000, 0.000), Sr at (0.000, 0.500, 0.250) and Ca at (0.000, 0.000, 0.398).

For the energy of formation, the calculation gives 0.2975 eV/atom. The total magnetization comes out at 0.0 μB per formula unit. The relative energy among the computed polymorphs is 143 meV/atom.


(4)
First-principles (PBE) data for CsSrCa after structural relaxation, as listed in Alexandria via LeMat-Bulk.

The space group is I4mm (No. 107) and the conventional cell measures 4.299, 4.299 and 20.233 Å, with angles of 90.00, 90.00 and 90.00 degrees. The asymmetric unit holds Cs at (0.000, 0.000, 0.000), Sr at (0.000, 0.000, 0.690) and Ca at (0.000, 0.000, 0.324).

For the energy of formation, the calculation gives 0.1661 eV/atom. The total magnetization comes out at 0.0 μB per formula unit.